Below is an optimized crystal structure of MgRe2S, with properties calculated at the GGA-PBEsol level.

Lattice parameters (Å, degrees): 4.2719 4.2719 4.2719 60.00 60.00 60.00
Closest atoms and distances in Å follow each position.
Positions (direct):
Mg 0.0000 0.0000 0.0000  8 Re 2.62
Re 0.2500 0.2500 0.2500  4 S 2.62, 4 Mg 2.62
Re 0.7500 0.7500 0.7500  4 S 2.62, 4 Mg 2.62
S 0.5000 0.5000 0.5000  8 Re 2.62

Computed properties:
SG: Fm-3m, No. 225
Energy, eV/atom: -7.39
E_form (uncorrected), eV per formula unit: 3.2
V, Å³ per cell: 55.13
Fermi-level density of states, states/eV per cell: 3.2
M_tot, μB per atom: 0.0000